P:
A geometry-optimized TbNd3Dy3 structure. Source: the Alexandria database, functional PBE.

Computed properties:
Size of the total moment, μB/cell: 0.0

a = 8.7255 Å, b = 8.7255 Å, c = 22.0447 Å
α = 90.00°, β = 90.00°, γ = 120.00°
Closest atoms and distances in Å follow each position.
Space group R-3 (No. 148, hexagonal axes)
Inequivalent atoms, fractional coordinates:
Tb  0.0000  0.0000  0.1559 (multiplicity 6)  6 Dy 3.57-3.79, 6 Nd 3.63-3.78
Nd  0.0472  0.4474  0.3819 (multiplicity 18)  4 Dy 3.32-3.63, 1 Tb 3.63, 2 Nd 3.65
Dy  0.0050  0.2333  0.5580 (multiplicity 18)  4 Dy 3.25-3.49, 4 Nd 3.32-3.63, 1 Tb 3.57

Q:
A geometry-optimized TbNd3Dy3 structure. Source: the Alexandria database, functional PBE.

Computed properties:
Size of the total moment, μB/cell: 0.0

a = 9.6698 Å, b = 9.6698 Å, c = 5.7840 Å
α = 90.00°, β = 90.00°, γ = 120.00°
Closest atoms and distances in Å follow each position.
Space group P6_3/m (No. 176)
Inequivalent atoms, fractional coordinates:
Tb  0.3333  0.6667  0.2500 (multiplicity 2)  9 Dy 3.57-3.65, 3 Nd 3.62
Nd  0.0495  0.2427  0.2500 (multiplicity 6)  5 Dy 3.57-3.69, 6 Nd 3.60-3.72, 1 Tb 3.62
Dy  0.0953  0.4790  0.7500 (multiplicity 6)  4 Dy 3.56-3.64, 5 Nd 3.57-3.69, 3 Tb 3.57-3.65

Q: Which of them is the most stable? A: Q.

P:
A geometry-optimized TbNd4Dy structure. Source: the Alexandria database, functional PBE.

Computed properties:
Size of the total moment, μB/cell: 0.0

a = 11.7410 Å, b = 11.7450 Å, c = 3.4939 Å
α = 90.00°, β = 90.00°, γ = 90.00°
Closest atoms and distances in Å follow each position.
Space group Cmmm (No. 65)
Inequivalent atoms, fractional coordinates:
Tb  0.0000  0.0000  0.0000 (multiplicity 2)  6 Nd 3.07-3.31
Nd  0.0000  0.2614  0.0000 (multiplicity 4)  1 Tb 3.07, 2 Dy 3.30
Nd  0.2392  0.0000  0.5000 (multiplicity 4)  1 Dy 3.06, 2 Tb 3.31
Dy  0.0000  0.5000  0.5000 (multiplicity 2)  6 Nd 3.06-3.30

Q:
A geometry-optimized TbNd4Dy structure. Source: the Alexandria database, functional PBE.

Computed properties:
Size of the total moment, μB/cell: 0.0

a = 5.1567 Å, b = 15.4197 Å, c = 5.1536 Å
α = 90.00°, β = 90.00°, γ = 90.00°
Closest atoms and distances in Å follow each position.
Space group Cmmm (No. 65)
Inequivalent atoms, fractional coordinates:
Tb  0.0000  0.0000  0.0000 (multiplicity 2)  8 Nd 3.62, 4 Dy 3.65
Nd  0.0000  0.1652  0.5000 (multiplicity 4)  2 Tb 3.62, 2 Dy 3.62, 8 Nd 3.65-3.67
Nd  0.0000  0.3349  0.0000 (multiplicity 4)  2 Dy 3.62, 2 Tb 3.62, 8 Nd 3.65-3.67
Dy  0.0000  0.5000  0.5000 (multiplicity 2)  8 Nd 3.62, 4 Tb 3.65

Q: Which of them is the most stable? A: Q.

P:
A geometry-optimized TbNd6Dy2 structure. Source: the Alexandria database, functional PBE.

Computed properties:
Size of the total moment, μB/cell: 0.0

a = 16.5219 Å, b = 11.8548 Å, c = 6.2625 Å
α = 90.00°, β = 96.06°, γ = 90.00°
Closest atoms and distances in Å follow each position.
Space group C2/c (No. 15)
Inequivalent atoms, fractional coordinates:
Tb  0.0000  0.0993  0.2500 (multiplicity 4)  8 Nd 3.46-3.56
Nd  0.0475  0.3597  0.5137 (multiplicity 8)  4 Nd 3.37-3.67, 3 Dy 3.46-3.56, 1 Tb 3.55
Nd  0.1194  0.1405  0.8195 (multiplicity 8)  4 Nd 3.37-3.68, 2 Tb 3.46-3.54, 2 Dy 3.55-3.56
Nd  0.2144  0.1405  0.3470 (multiplicity 8)  4 Nd 3.36-3.68, 3 Dy 3.46-3.55, 1 Tb 3.56
Dy  0.1666  0.4007  0.0833 (multiplicity 8)  8 Nd 3.46-3.56

Q:
A geometry-optimized TbNd6Dy2 structure. Source: the Alexandria database, functional PBE.

Computed properties:
Size of the total moment, μB/cell: 0.0

a = 9.4455 Å, b = 17.7924 Å, c = 3.6693 Å
α = 90.00°, β = 90.00°, γ = 90.00°
Closest atoms and distances in Å follow each position.
Space group Cmmm (No. 65)
Inequivalent atoms, fractional coordinates:
Tb  0.0000  0.0000  0.0000 (multiplicity 2)  4 Nd 3.51, 4 Dy 3.65, 2 Tb 3.67
Nd  0.1758  0.3349  0.0000 (multiplicity 8)  6 Nd 3.32-3.67, 2 Dy 3.58
Nd  0.1833  0.5000  0.5000 (multiplicity 4)  7 Nd 3.46-3.67, 2 Tb 3.51
Dy  0.0000  0.1776  0.5000 (multiplicity 4)  8 Nd 3.58-3.74, 2 Tb 3.65, 2 Dy 3.67

Q: Which of them is the most stable? A: P.

P:
A geometry-optimized TbNd8Dy6 structure. Source: the Alexandria database, functional PBE.

Computed properties:
Size of the total moment, μB/cell: 0.0

a = 9.4631 Å, b = 9.4631 Å, c = 6.5860 Å
α = 90.00°, β = 90.00°, γ = 120.00°
Closest atoms and distances in Å follow each position.
Space group P-3 (No. 147)
Inequivalent atoms, fractional coordinates:
Tb  0.0000  0.0000  0.0000 (multiplicity 1)  6 Nd 3.37
Nd  0.0365  0.7501  0.6673 (multiplicity 6)  3 Nd 3.29-3.37, 4 Dy 3.33-3.59, 1 Tb 3.37
Nd  0.3333  0.6667  0.6204 (multiplicity 2)  3 Nd 3.29
Dy  0.0935  0.6558  0.1584 (multiplicity 6)  1 Dy 3.31, 4 Nd 3.33-3.59

Q:
A geometry-optimized TbNd8Dy6 structure. Source: the Alexandria database, functional PBE.

Computed properties:
Size of the total moment, μB/cell: 0.0

a = 9.1595 Å, b = 9.1595 Å, c = 20.9526 Å
α = 90.00°, β = 90.00°, γ = 120.00°
Closest atoms and distances in Å follow each position.
Space group R-3 (No. 148, hexagonal axes)
Inequivalent atoms, fractional coordinates:
Tb  0.0000  0.0000  0.0000 (multiplicity 3)  6 Dy 3.51, 6 Nd 3.55
Nd  0.0000  0.0000  0.4222 (multiplicity 6)  4 Nd 3.26-3.46, 3 Dy 3.38
Nd  0.0808  0.5237  0.8066 (multiplicity 18)  3 Dy 3.45-3.85, 5 Nd 3.46-3.48, 1 Tb 3.55
Dy  0.0477  0.8029  0.7057 (multiplicity 18)  3 Nd 3.38-3.47, 1 Tb 3.51, 2 Dy 3.57

Q: Which of them is the most stable? A: Q.

P:
A geometry-optimized Tb2Nd6Dy structure. Source: the Alexandria database, functional PBE.

Computed properties:
Size of the total moment, μB/cell: 0.0

a = 9.4569 Å, b = 17.8094 Å, c = 3.6684 Å
α = 90.00°, β = 90.00°, γ = 90.00°
Closest atoms and distances in Å follow each position.
Space group Cmmm (No. 65)
Inequivalent atoms, fractional coordinates:
Tb  0.0000  0.1769  0.0000 (multiplicity 4)  8 Nd 3.58-3.75, 2 Dy 3.65, 2 Tb 3.67
Nd  0.1755  0.3350  0.5000 (multiplicity 8)  6 Nd 3.32-3.67, 2 Tb 3.58
Nd  0.1838  0.5000  0.0000 (multiplicity 4)  7 Nd 3.46-3.67, 2 Dy 3.51
Dy  0.0000  0.0000  0.5000 (multiplicity 2)  4 Nd 3.51, 4 Tb 3.65, 2 Dy 3.67

Q:
A geometry-optimized Tb2Nd6Dy structure. Source: the Alexandria database, functional PBE.

Computed properties:
Size of the total moment, μB/cell: 0.0

a = 16.5399 Å, b = 11.8565 Å, c = 6.2661 Å
α = 90.00°, β = 96.05°, γ = 90.00°
Closest atoms and distances in Å follow each position.
Space group C2/c (No. 15)
Inequivalent atoms, fractional coordinates:
Tb  0.1668  0.0991  0.0834 (multiplicity 8)  8 Nd 3.46-3.57
Nd  0.0474  0.1405  0.5137 (multiplicity 8)  4 Nd 3.37-3.68, 3 Tb 3.46-3.56, 1 Dy 3.55
Nd  0.1189  0.3595  0.8196 (multiplicity 8)  4 Nd 3.37-3.68, 2 Dy 3.46-3.54, 2 Tb 3.55-3.57
Nd  0.2137  0.3598  0.3472 (multiplicity 8)  4 Nd 3.38-3.68, 3 Tb 3.46-3.55, 1 Dy 3.56
Dy  0.0000  0.4009  0.2500 (multiplicity 4)  8 Nd 3.46-3.56

Q: Which of them is the most stable? A: Q.

P:
A geometry-optimized Tb8Nd2Dy structure. Source: the Alexandria database, functional PBE.

Computed properties:
Size of the total moment, μB/cell: 0.0

a = 9.0566 Å, b = 16.1795 Å, c = 5.9230 Å
α = 90.00°, β = 123.00°, γ = 90.00°
Closest atoms and distances in Å follow each position.
Space group C2/m (No. 12)
Inequivalent atoms, fractional coordinates:
Tb  0.0000  0.2067  0.0000 (multiplicity 4)  1 Dy 3.34, 2 Nd 3.38, 6 Tb 3.64-3.71
Tb  0.0744  0.5000  0.7959 (multiplicity 4)  4 Tb 2.99-3.35
Tb  0.2144  0.1156  0.6745 (multiplicity 8)  3 Tb 3.23-3.48, 2 Nd 3.50
Nd  0.0000  0.3069  0.5000 (multiplicity 4)  8 Tb 3.38-3.50
Dy  0.0000  0.0000  0.0000 (multiplicity 2)  4 Tb 3.34-3.35

Q:
A geometry-optimized Tb8Nd2Dy structure. Source: the Alexandria database, functional PBE.

Computed properties:
Size of the total moment, μB/cell: 0.0

a = 18.2484 Å, b = 5.0634 Å, c = 8.0123 Å
α = 90.00°, β = 105.31°, γ = 90.00°
Closest atoms and distances in Å follow each position.
Space group C2/m (No. 12)
Inequivalent atoms, fractional coordinates:
Tb  0.0446  0.0000  0.2278 (multiplicity 4)  9 Tb 3.55-3.59, 2 Dy 3.57, 1 Nd 3.59
Tb  0.0898  0.5000  0.9532 (multiplicity 4)  8 Tb 3.55-3.59, 1 Dy 3.57, 3 Nd 3.59-3.60
Tb  0.1351  0.0000  0.6783 (multiplicity 4)  7 Tb 3.55-3.60, 2 Dy 3.56, 3 Nd 3.60-3.62
Tb  0.1811  0.5000  0.4083 (multiplicity 4)  1 Dy 3.57, 8 Tb 3.57-3.60, 3 Nd 3.58
Nd  0.2269  0.0000  0.1372 (multiplicity 4)  10 Tb 3.58-3.62, 2 Nd 3.60
Dy  0.0000  0.5000  0.5000 (multiplicity 2)  12 Tb 3.56-3.57

Q: Which of them is the most stable? A: Q.

P:
A geometry-optimized Tb3Nd5Dy2 structure. Source: the Alexandria database, functional PBE.

Computed properties:
Size of the total moment, μB/cell: 0.0

a = 10.7688 Å, b = 14.8919 Å, c = 10.0714 Å
α = 90.00°, β = 122.30°, γ = 90.00°
Closest atoms and distances in Å follow each position.
Space group C2/c (No. 15)
Inequivalent atoms, fractional coordinates:
Tb  0.0000  0.2285  0.2500 (multiplicity 4)  3 Nd 3.07-3.43, 2 Dy 3.39
Tb  0.1547  0.1250  0.0567 (multiplicity 8)  1 Dy 3.28, 5 Nd 3.40-3.52, 1 Tb 3.52
Nd  0.0000  0.0222  0.2500 (multiplicity 4)  3 Tb 3.07-3.41
Nd  0.0000  0.2717  0.7500 (multiplicity 4)  3 Nd 3.13-3.44, 4 Tb 3.40-3.50, 2 Dy 3.48
Nd  0.0000  0.4816  0.7500 (multiplicity 4)  3 Nd 3.13-3.47, 2 Dy 3.41
Nd  0.2465  0.1286  0.7418 (multiplicity 8)  3 Tb 3.43-3.79, 3 Nd 3.44-3.51, 2 Dy 3.71-3.79
Dy  0.1526  0.3723  0.5579 (multiplicity 8)  3 Tb 3.28-3.50, 4 Nd 3.41-3.53

Q:
A geometry-optimized Tb3Nd5Dy2 structure. Source: the Alexandria database, functional PBE.

Computed properties:
Size of the total moment, μB/cell: 0.0

a = 9.4504 Å, b = 13.7381 Å, c = 11.0194 Å
α = 90.00°, β = 90.00°, γ = 90.00°
Closest atoms and distances in Å follow each position.
Space group Ibam (No. 72)
Inequivalent atoms, fractional coordinates:
Tb  0.0000  0.0000  0.2500 (multiplicity 4)  4 Dy 3.32, 2 Nd 3.40
Tb  0.2483  0.3765  0.0000 (multiplicity 8)  1 Dy 3.20, 1 Nd 3.33
Nd  0.0000  0.2473  0.2500 (multiplicity 8)  2 Dy 3.36, 3 Nd 3.39-3.47, 1 Tb 3.40
Nd  0.0000  0.5000  0.2500 (multiplicity 4)  6 Nd 3.42-3.47
Nd  0.1039  0.3714  0.5000 (multiplicity 8)  1 Dy 2.92
Dy  0.0868  0.1206  0.0000 (multiplicity 8)  1 Nd 2.92, 1 Tb 3.20

Q: Which of them is the most stable? A: P.

P:
A geometry-optimized Tb6NdDy structure. Source: the Alexandria database, functional PBE.

Computed properties:
Size of the total moment, μB/cell: 0.0

a = 5.0544 Å, b = 5.0544 Å, c = 10.1028 Å
α = 90.00°, β = 90.00°, γ = 90.00°
Closest atoms and distances in Å follow each position.
Space group P4/mmm (No. 123)
Inequivalent atoms, fractional coordinates:
Tb  0.0000  0.0000  0.0000 (multiplicity 1)  8 Tb 3.56, 4 Dy 3.57
Tb  0.0000  0.0000  0.5000 (multiplicity 1)  4 Nd 3.57, 8 Tb 3.59
Tb  0.0000  0.5000  0.2478 (multiplicity 4)  8 Tb 3.56-3.59, 2 Dy 3.56, 2 Nd 3.59
Nd  0.5000  0.5000  0.5000 (multiplicity 1)  12 Tb 3.57-3.59
Dy  0.5000  0.5000  0.0000 (multiplicity 1)  12 Tb 3.56-3.57

Q:
A geometry-optimized Tb6NdDy structure. Source: the Alexandria database, functional PBE.

Computed properties:
Size of the total moment, μB/cell: 0.0

a = 10.0400 Å, b = 6.8567 Å, c = 8.4894 Å
α = 90.00°, β = 103.97°, γ = 90.00°
Closest atoms and distances in Å follow each position.
Space group C2/m (No. 12)
Inequivalent atoms, fractional coordinates:
Tb  0.1274  0.0000  0.4238 (multiplicity 4)  3 Tb 3.13-3.42
Tb  0.1958  0.2376  0.8021 (multiplicity 8)  5 Tb 3.26-3.60, 1 Nd 3.35, 2 Dy 3.39-3.51
Nd  0.0000  0.5000  0.5000 (multiplicity 2)  6 Tb 3.35-3.64
Dy  0.0000  0.5000  0.0000 (multiplicity 2)  8 Tb 3.39-3.51

Q: Which of them is the most stable? A: P.